Here is a geometry-optimized Pm3SnBi structure from the Alexandria database. Energies are from GGA-PBE.

- ΔH_f (0 K) (eV per atom) = -0.6459
- electronic total energy (Ry per atom) = -0.3729

Cell and atoms, written as POSCAR:
```
Pm3SnBi
1.0
6.205 -5.927 0.000
6.205 5.927 0.000
-0.034 0.000 8.957
Pm Sn Bi
12 4 4
Cartesian
5.181 4.715 5.233
3.077 2.114 7.216
7.179 4.715 8.202
4.791 1.105 3.749
3.094 -2.114 2.737
4.774 -1.105 8.228
7.603 1.105 0.729
9.282 2.114 6.219
7.586 -1.105 5.207
5.197 -4.715 0.754
9.299 -2.114 1.741
7.196 -4.715 3.724
2.791 0.715 1.109
2.774 -0.715 5.587
9.603 0.715 3.369
9.586 -0.715 7.848
6.197 3.892 2.239
6.180 1.629 6.718
6.197 -1.629 2.239
6.180 -3.892 6.718
```